MnTeO2F, relaxed, DFT PBE with a Hubbard U; total energy = -5.40 eV/atom; total moment = 4.1 μB per cell
1.0
-0.7164 2.1839 3.3269
-2.0709 -3.0912 1.5833
3.3681 -1.4107 1.6513
F O Mn Te
1 2 1 1
direct
0.0000 0.0000 0.5000
0.0000 0.5000 0.0000
0.5000 0.0000 0.0000
0.0000 0.0000 0.0000
0.5000 0.5000 0.5000